Entry 1:
Computed, not measured: an optimized crystal structure of TiZnPt at the PBE-GGA level of DFT.

The structure belongs to space group Imm2 (No. 44); the cell edges are 2.801, 3.958 and 8.176 Å and the angles 90.00°, 90.00° and 90.00°. The asymmetric unit holds Ti at (0.000, 0.000, 0.000), Zn at (0.000, 0.000, 0.331) and Pt at (0.000, 0.000, 0.668).

Its formation enthalpy at 0 K is -0.6464 eV per atom.

***

Entry 2:
Computed, not measured: an optimized crystal structure of Ta4Pt at the PBE-GGA level of DFT.

The structure belongs to space group I4/mmm (No. 139); the cell edges are 3.699, 3.699 and 14.200 Å and the angles 90.00°, 90.00° and 90.00°. The asymmetric unit holds Ta at (0.000, 0.000, 0.090), Ta at (0.000, 0.500, 0.250) and Pt at (0.000, 0.000, 0.500).

Its formation enthalpy at 0 K is 0.6843 eV per atom. The calculation puts the offset from the most stable computed form at 0.964 eV/atom.

***

| no. | raw total energy (eV/atom) |
| --- | --- |
| 1 | -5.716 |
| 2 | -10.006 |